1.
ZnAsPt2 after structural relaxation, computed with PBE.

Computed properties:
**M_tot**: 0.0 μB/cell
**ΔE to the lowest computed polymorph**: 0.0375 eV per atom
**Final energy**: -4.77 eV/atom
**Formation energy from the elements**: -1.09 eV/f.u.
**DOS(E_F)**: 1.2 states/eV/f.u.

Cell lengths 4.8199, 4.8199, 4.2403 Å; angles 106.01, 106.01, 42.38 degrees
Positions (direct):
1 Zn 0.0000 0.0000 0.0000
2 As 0.7668 0.7668 0.3627
3 Pt 0.2614 0.2614 0.8683
4 Pt 0.5031 0.5031 0.4965



2.
Zn2AsPt after structural relaxation, computed with PBE.

Computed properties:
**M_tot**: 0.0 μB/cell
**Final energy**: -3.38 eV/atom
**Formation energy from the elements**: -0.30 eV/f.u.
**DOS(E_F)**: 1.4 states/eV/f.u.

Cell lengths 2.8956, 2.8956, 7.8111 Å; angles 90.00, 90.00, 90.00 degrees
Positions (direct):
1 Zn 0.0000 0.0000 0.0000
2 Zn 0.5000 0.5000 0.2400
3 As 0.0000 0.0000 0.5360
4 Pt 0.5000 0.5000 0.7698



3.
Zn2AsPt after structural relaxation, computed with PBE.

Computed properties:
**M_tot**: 0.0 μB/cell
**Final energy**: -3.44 eV/atom
**Formation energy from the elements**: -0.54 eV/f.u.
**DOS(E_F)**: 1.5 states/eV/f.u.

Cell lengths 4.1164, 4.1164, 3.7334 Å; angles 90.00, 90.00, 90.00 degrees
Positions (direct):
1 Zn 0.0000 0.5000 0.0000
2 Zn 0.5000 0.0000 0.0000
3 As 0.0000 0.0000 0.5000
4 Pt 0.5000 0.5000 0.5000



4.
ZnAsPt4 after structural relaxation, computed with PBE.

Computed properties:
**M_tot**: 0.0 μB/cell
**Final energy**: -4.89 eV/atom
**Formation energy from the elements**: 0.75 eV/f.u.
**DOS(E_F)**: 9.1 states/eV/f.u.

Cell lengths 5.2908, 5.2908, 5.2908 Å; angles 60.00, 60.00, 60.00 degrees
Positions (direct):
1 Zn 0.0000 0.0000 0.0000
2 As 0.7500 0.7500 0.7500
3 Pt 0.3750 0.3750 0.3750
4 Pt 0.3750 0.3750 0.8751
5 Pt 0.3750 0.8751 0.3750
6 Pt 0.8751 0.3750 0.3750



5.
ZnAs2Pt2 after structural relaxation, computed with PBE.

Computed properties:
**M_tot**: 0.0 μB/cell
**ΔE to the lowest computed polymorph**: 0.1430 eV per atom
**Final energy**: -4.47 eV/atom
**Formation energy from the elements**: 0.29 eV/f.u.
**DOS(E_F)**: 2.1 states/eV/f.u.

Cell lengths 7.8579, 7.8579, 2.8631 Å; angles 90.00, 90.00, 90.00 degrees
Positions (direct):
1 Zn 0.0000 0.0000 0.0000
2 Zn 0.5000 0.5000 0.0000
3 As 0.1344 0.3656 0.0000
4 As 0.3656 0.8656 0.0000
5 As 0.6344 0.1344 0.0000
6 As 0.8656 0.6344 0.0000
7 Pt 0.1694 0.6694 0.5000
8 Pt 0.3306 0.1694 0.5000
9 Pt 0.6694 0.8306 0.5000
10 Pt 0.8306 0.3306 0.5000



6.
Zn2AsPt after structural relaxation, computed with PBE.

Computed properties:
**M_tot**: 0.0 μB/cell
**Final energy**: -3.39 eV/atom
**Formation energy from the elements**: -0.34 eV/f.u.
**DOS(E_F)**: 1.4 states/eV/f.u.

Cell lengths 5.3362, 5.3362, 3.0593 Å; angles 106.00, 106.00, 117.53 degrees
Positions (direct):
1 Zn 0.0000 0.5000 0.0000
2 Zn 0.5000 0.0000 0.0000
3 As 0.0000 0.0000 0.0000
4 Pt 0.5000 0.5000 0.0000



7.
ZrAsPt4 after structural relaxation, computed with PBE.

Computed properties:
**M_tot**: 0.0 μB/cell
**Final energy**: -6.59 eV/atom
**Formation energy from the elements**: -2.17 eV/f.u.
**DOS(E_F)**: 5.3 states/eV/f.u.

Cell lengths 5.3151, 5.3151, 5.3151 Å; angles 60.00, 60.00, 60.00 degrees
Positions (direct):
1 Zr 0.0000 0.0000 0.0000
2 As 0.7500 0.7500 0.7500
3 Pt 0.3747 0.3747 0.3747
4 Pt 0.3747 0.3747 0.8759
5 Pt 0.3747 0.8759 0.3747
6 Pt 0.8759 0.3747 0.3747



8.
ZrAsPt after structural relaxation, computed with PBE.

Computed properties:
**M_tot**: 0.0 μB/cell
**Final energy**: -7.09 eV/atom
**Formation energy from the elements**: -2.04 eV/f.u.
**DOS(E_F)**: 2.0 states/eV/f.u.

Cell lengths 4.8719, 4.8719, 4.8719 Å; angles 135.54, 135.54, 64.69 degrees
Positions (direct):
1 Zr 0.0000 0.0000 0.0000
2 As 0.6593 0.6593 0.0000
3 Pt 0.3396 0.3396 0.0000



9.
Zr2AsPt after structural relaxation, computed with PBE.

Computed properties:
**M_tot**: 0.0 μB/cell
**Final energy**: -7.78 eV/atom
**Formation energy from the elements**: -3.32 eV/f.u.
**DOS(E_F)**: 2.3 states/eV/f.u.

Cell lengths 3.5543, 3.5543, 6.0088 Å; angles 90.00, 90.00, 90.00 degrees
Positions (direct):
1 Zr 0.0000 0.0000 0.2494
2 Zr 0.0000 0.0000 0.7506
3 As 0.5000 0.5000 0.0000
4 Pt 0.5000 0.5000 0.5000



10.
ZrAs3Pt after structural relaxation, computed with PBE.

Computed properties:
**M_tot**: 0.0 μB/cell
**ΔE to the lowest computed polymorph**: 0.3301 eV per atom
**Final energy**: -4.99 eV/atom
**Formation energy from the elements**: 3.59 eV/f.u.
**DOS(E_F)**: 5.4 states/eV/f.u.

Cell lengths 5.0985, 5.0985, 5.0985 Å; angles 90.00, 90.00, 90.00 degrees
Positions (direct):
1 Zr 0.0000 0.0000 0.0000
2 As 0.0000 0.0000 0.5000
3 As 0.0000 0.5000 0.0000
4 As 0.5000 0.0000 0.0000
5 Pt 0.5000 0.5000 0.5000



11.
Zr2AsPt after structural relaxation, computed with PBE.

Computed properties:
**M_tot**: 0.0 μB/cell
**Final energy**: -7.22 eV/atom
**Formation energy from the elements**: -1.10 eV/f.u.
**DOS(E_F)**: 3.4 states/eV/f.u.

Cell lengths 8.7882, 8.7882, 8.7882 Å; angles 21.90, 21.90, 21.90 degrees
Positions (direct):
1 Zr 0.0000 0.0000 0.0000
2 Zr 0.2355 0.2355 0.2355
3 As 0.4850 0.4850 0.4850
4 Pt 0.7403 0.7403 0.7403



12.
Zr2As2Pt after structural relaxation, computed with PBE.

Computed properties:
**M_tot**: 0.0 μB/cell
**Final energy**: -7.31 eV/atom
**Formation energy from the elements**: -4.10 eV/f.u.
**DOS(E_F)**: 2.5 states/eV/f.u.

Cell lengths 7.1278, 7.1278, 3.6599 Å; angles 90.00, 90.00, 90.00 degrees
Positions (direct):
1 Zr 0.1577 0.3423 0.0000
2 Zr 0.3423 0.8423 0.0000
3 Zr 0.6577 0.1577 0.0000
4 Zr 0.8423 0.6577 0.0000
5 As 0.1494 0.6494 0.5000
6 As 0.3506 0.1494 0.5000
7 As 0.6494 0.8506 0.5000
8 As 0.8506 0.3506 0.5000
9 Pt 0.0000 0.0000 0.5000
10 Pt 0.5000 0.5000 0.5000